First-principles (GGA+U) data for Pm2MoPbO8 after structural relaxation, as listed in Alexandria via LeMat-Bulk.

Values from the calculation:
**Space group**: C2/m (12)
**Crystal system**: monoclinic
**VASP energy**: -7.11 eV per atom
**Spin magnetization**: 0.00 μB/cell

Cell and atoms, written as POSCAR:
```
Pm2MoPbO8
1.0
3.475 -3.652 0.000
3.475 3.652 0.000
-0.138 0.000 7.014
Pm Mo Pb O
2 1 1 8
Cartesian
0.179 0.000 1.816
6.632 0.000 5.198
3.406 0.000 3.507
3.475 0.000 0.000
1.296 0.000 6.889
1.484 0.000 3.693
3.284 1.307 2.023
3.528 1.307 4.991
3.284 -1.307 2.023
3.528 -1.307 4.991
5.328 0.000 3.321
5.515 0.000 0.125
```